1.
# LiSbPdPt

Crystalline LiSbPdPt at its relaxed geometry (PBE, Alexandria via LeMat-Bulk).

Properties
Total energy, eV per cell: -19.52
Space-group type: F-43m
ΔE_f (raw), meV per atom: -562

Cell and atoms, written as POSCAR:
```
LiSbPdPt
1.0
0.000 3.187 3.187
3.187 0.000 3.187
3.187 3.187 0.000
Li Sb Pd Pt
1 1 1 1
Cartesian
0.000 0.000 0.000
3.187 3.187 3.187
4.781 4.781 4.781
1.594 1.594 1.594
```

=====

2.
# LiSb2PdPt

Crystalline LiSb2PdPt at its relaxed geometry (PBE, Alexandria via LeMat-Bulk).

Properties
Total energy, eV per cell: -20.60
Space-group type: P4/mmm
ΔE_f (raw), meV per atom: 158

Cell and atoms, written as POSCAR:
```
LiSb2PdPt
1.0
5.067 0.000 0.000
0.000 5.067 0.000
0.000 0.000 4.351
Li Sb Pd Pt
1 2 1 1
Cartesian
0.000 0.000 0.000
0.000 2.534 2.176
2.534 0.000 2.176
0.000 0.000 2.176
2.534 2.534 0.000
```

=====

3.
# LiSiPdPt

Crystalline LiSiPdPt at its relaxed geometry (PBE, Alexandria via LeMat-Bulk).

Properties
Total energy, eV per cell: -21.52
Space-group type: F-43m
ΔE_f (raw), meV per atom: -736

Cell and atoms, written as POSCAR:
```
LiSiPdPt
1.0
0.000 2.975 2.975
2.975 0.000 2.975
2.975 2.975 0.000
Li Si Pd Pt
1 1 1 1
Cartesian
0.000 0.000 0.000
2.975 2.975 2.975
4.463 4.463 4.463
1.488 1.488 1.488
```